No. 1
LuBiPd2 | meta-GGA SCAN | single point on PBEsol structure

The structure belongs to space group Fm-3m (No. 225); the cell edges are 6.755, 6.755 and 6.755 Å and the angles 90.00°, 90.00° and 90.00°. The asymmetric unit holds Lu at (0.000, 0.000, 0.000), Bi at (0.000, 0.000, 0.500) and Pd at (0.250, 0.250, 0.250).

Its density of states at the Fermi level is 3.71 states/eV/cell. Its mass density is 12.9 g/cm3. For the uncorrected energy, the calculation gives -50.6516 eV/atom.



No. 2
KAgPt2 | meta-GGA SCAN | single point on PBEsol structure

The structure belongs to space group R-3m (No. 166, hexagonal axes); the cell edges are 2.8193, 2.8193 and 30.1551 Å and the angles 90.00°, 90.00° and 120.00°. The asymmetric unit holds K at (0.0000, 0.0000, 0.0000), Ag at (0.0000, 0.0000, 0.5000) and Pt at (0.0000, 0.0000, 0.2435).

Its density of states at the Fermi level is 4.77 states/eV/cell. Its mass density is 12.9 g/cm3. For the uncorrected energy, the calculation gives -44.9064 eV/atom.



No. 3
CoMo5 | meta-GGA SCAN | single point on PBEsol structure

The structure belongs to space group Amm2 (No. 38); the cell edges are 4.502, 2.571 and 15.148 Å and the angles 90.00°, 90.00° and 90.00°. The asymmetric unit holds Co at (0.000, 0.000, 0.000), Mo at (0.000, 0.000, 0.335), Mo at (0.000, 0.000, 0.654), Mo at (0.500, 0.000, 0.230), Mo at (0.500, 0.000, 0.557) and Mo at (0.500, 0.000, 0.900).

Its density of states at the Fermi level is 12.73 states/eV/cell. Its mass density is 10.2 g/cm3. For the uncorrected energy, the calculation gives -31.5312 eV/atom.